Below is a relaxed NiAsWSe2 crystal, with properties calculated at the PBE level.

- energy relative to the elements, uncorrected (eV per atom) = 1.0445
- total moment (Bohr magnetons per cell) = 0.0
- SG = P4/mmm, No. 123
- uncorrected energy (eV per atom) = -5.026
- D(E_F) (states/eV per cell) = 7.28

Unit cell a=4.5951 b=4.4381 c=4.5951 alpha=90.00 beta=90.00 gamma=90.00
Fractional coordinates of all 5 atoms:
1 Ni 0.0000 0.0000 0.0000
2 As 0.0000 0.5000 0.0000
3 Se 0.0000 0.0000 0.5000
4 Se 0.5000 0.0000 0.0000
5 W 0.5000 0.5000 0.5000